# PBE-GGA CsMn2MoP, optimized geometry
# E_form ... 1.872 eV per atom
# Crystal system ... tetragonal
# Raw total energy ... -5.215 eV per atom
# Calculated volume ... 101.2 Å³/cell
data_CsMn2MoP
_chemical_formula_sum 'Cs1 Mn2 Mo1 P1'
_cell_length_a 4.213
_cell_length_b 4.213
_cell_length_c 5.700
_cell_angle_alpha 90.00
_cell_angle_beta 90.00
_cell_angle_gamma 90.00
_space_group_name_H-M_alt 'P 4/m m m'
_space_group_IT_number 123
_space_group_name_Hall '-P 4 2'
loop_
_atom_site_label
_atom_site_fract_x
_atom_site_fract_y
_atom_site_fract_z
Cs1 0.000 0.000 0.000
Mn1 0.000 0.500 0.500
Mo1 0.500 0.500 0.000
P1 0.000 0.000 0.500